1 | Material: Li2ZnCu2
Method: DFT, PBE-GGA
State: relaxed

abc: 7.194 4.188 4.931
angles: 90.00 118.27 90.00
Space group C2/m (No. 12)
Asymmetric unit:
Li 0.203 0.000 0.108 [4 per cell]
Zn 0.000 0.000 0.500 [2 per cell]
Cu 0.101 0.500 0.306 [4 per cell]

For the density of states at the Fermi level, the calculation gives 2.57 states/eV/cell. Its size of the total moment is 0.00 μB per cell.


2 | Material: Li2ZnCu2
Method: DFT, PBE-GGA
State: relaxed

abc: 3.406 3.406 12.469
angles: 90.00 90.00 90.00
Space group I4/mmm (No. 139)
Asymmetric unit:
Li 0.000 0.500 0.250 [4 per cell]
Zn 0.000 0.000 0.000 [2 per cell]
Cu 0.000 0.000 0.405 [4 per cell]

For the density of states at the Fermi level, the calculation gives 3.04 states/eV/cell. Its size of the total moment is 0.00 μB per cell.


3 | Material: Li2ZnCu2
Method: DFT, PBE-GGA
State: relaxed

abc: 6.969 6.969 2.709
angles: 90.00 90.00 90.00
Space group P4/mbm (No. 127)
Asymmetric unit:
Li 0.131 0.369 0.000 [4 per cell]
Zn 0.000 0.000 0.000 [2 per cell]
Cu 0.167 0.667 0.500 [4 per cell]

For the density of states at the Fermi level, the calculation gives 2.93 states/eV/cell. Its size of the total moment is 0.00 μB per cell.


The least stable of them is 2.


1 | Material: Li2ZnCu2
Method: DFT, PBE-GGA
State: relaxed

abc: 9.090 4.315 7.063
angles: 90.00 108.91 90.00
Space group C2/c (No. 15)
Asymmetric unit:
Li 0.196 0.210 0.150 [8 per cell]
Zn 0.000 0.219 0.750 [4 per cell]
Cu 0.097 0.285 0.448 [8 per cell]

For the density of states at the Fermi level, the calculation gives 7.07 states/eV/cell. Its size of the total moment is 0.00 μB per cell.


2 | Material: Li2ZnCu2
Method: DFT, PBE-GGA
State: relaxed

abc: 6.433 6.433 3.471
angles: 90.00 90.00 90.00
Space group P4/mbm (No. 127)
Asymmetric unit:
Li 0.167 0.333 0.000 [4 per cell]
Zn 0.000 0.000 0.500 [2 per cell]
Cu 0.134 0.634 0.500 [4 per cell]

For the density of states at the Fermi level, the calculation gives 3.49 states/eV/cell. Its size of the total moment is 0.00 μB per cell.


The least stable of them is 2.


1 | Material: Li2ZnCu8
Method: DFT, PBE-GGA
State: relaxed

abc: 13.239 3.694 5.713
angles: 90.00 104.14 90.00
Space group C2/m (No. 12)
Asymmetric unit:
Li 0.226 0.000 0.139 [4 per cell]
Zn 0.000 0.500 0.500 [2 per cell]
Cu 0.045 0.000 0.223 [4 per cell]
Cu 0.089 0.500 0.952 [4 per cell]
Cu 0.135 0.000 0.675 [4 per cell]
Cu 0.183 0.500 0.407 [4 per cell]

For the density of states at the Fermi level, the calculation gives 5.55 states/eV/cell. Its size of the total moment is 0.00 μB per cell.


2 | Material: Li2ZnCu8
Method: DFT, PBE-GGA
State: relaxed

abc: 3.980 6.303 11.000
angles: 90.00 90.00 90.00
Space group Immm (No. 71)
Asymmetric unit:
Li 0.000 0.000 0.205 [4 per cell]
Zn 0.000 0.000 0.500 [2 per cell]
Cu 0.000 0.200 0.000 [4 per cell]
Cu 0.000 0.296 0.353 [8 per cell]
Cu 0.000 0.500 0.153 [4 per cell]

For the density of states at the Fermi level, the calculation gives 6.37 states/eV/cell. Its size of the total moment is 0.00 μB per cell.


The least stable of them is 2.


1 | Material: LiZn6Cu
Method: DFT, PBE-GGA
State: relaxed

abc: 4.294 5.517 9.548
angles: 90.00 90.00 90.00
Space group Amm2 (No. 38)
Asymmetric unit:
Li 0.000 0.000 0.000 [2 per cell]
Zn 0.000 0.000 0.495 [2 per cell]
Zn 0.000 0.241 0.246 [4 per cell]
Zn 0.500 0.000 0.665 [2 per cell]
Zn 0.500 0.243 0.918 [4 per cell]
Cu 0.500 0.000 0.165 [2 per cell]

For the density of states at the Fermi level, the calculation gives 1.41 states/eV/cell. Its size of the total moment is 0.00 μB per cell.


2 | Material: LiZn6Cu
Method: DFT, PBE-GGA
State: relaxed

abc: 6.7641 6.7641 10.2863
angles: 90.00 90.00 120.00
Space group R-3m (No. 166, hexagonal axes)
Asymmetric unit:
Li 0.0000 0.0000 0.0000 [3 per cell]
Zn 0.0820 0.5410 0.8860 [18 per cell]
Cu 0.0000 0.0000 0.5000 [3 per cell]

For the density of states at the Fermi level, the calculation gives 7.94 states/eV/cell. Its size of the total moment is 0.00 μB per cell.


The least stable of them is 2.


1 | Material: Li6ZnCu
Method: DFT, PBE-GGA
State: relaxed

abc: 5.033 5.035 5.069
angles: 88.09 88.58 89.70
Space group P-1 (No. 2)
Asymmetric unit:
Li 0.000 0.246 0.001 [2 per cell]
Li 0.247 0.501 0.503 [2 per cell]
Li 0.499 0.997 0.253 [2 per cell]
Zn 0.500 0.500 0.000 [1 per cell]
Cu 0.000 0.000 0.500 [1 per cell]

For the density of states at the Fermi level, the calculation gives 3.54 states/eV/cell. Its size of the total moment is 0.00 μB per cell.


2 | Material: Li6ZnCu
Method: DFT, PBE-GGA
State: relaxed

abc: 4.646 5.708 9.657
angles: 90.00 90.00 90.00
Space group Amm2 (No. 38)
Asymmetric unit:
Li 0.000 0.000 0.000 [2 per cell]
Li 0.000 0.239 0.760 [4 per cell]
Li 0.500 0.000 0.337 [2 per cell]
Li 0.500 0.243 0.580 [4 per cell]
Zn 0.000 0.000 0.506 [2 per cell]
Cu 0.500 0.000 0.832 [2 per cell]

For the density of states at the Fermi level, the calculation gives 7.89 states/eV/cell. Its size of the total moment is 0.00 μB per cell.


The least stable of them is 1.


1 | Material: Li8ZnCu2
Method: DFT, PBE-GGA
State: relaxed

abc: 9.775 9.660 4.491
angles: 90.00 98.84 90.00
Space group C2/m (No. 12)
Asymmetric unit:
Li 0.094 0.000 0.298 [4 per cell]
Li 0.117 0.260 0.751 [8 per cell]
Li 0.242 0.000 0.879 [4 per cell]
Zn 0.000 0.500 0.000 [2 per cell]
Cu 0.125 0.500 0.546 [4 per cell]

For the density of states at the Fermi level, the calculation gives 8.62 states/eV/cell. Its size of the total moment is 0.00 μB per cell.


2 | Material: Li8ZnCu2
Method: DFT, PBE-GGA
State: relaxed

abc: 14.464 4.023 5.945
angles: 90.00 100.29 90.00
Space group C2/m (No. 12)
Asymmetric unit:
Li 0.052 0.000 0.239 [4 per cell]
Li 0.100 0.500 0.960 [4 per cell]
Li 0.139 0.000 0.698 [4 per cell]
Li 0.187 0.500 0.407 [4 per cell]
Zn 0.000 0.500 0.500 [2 per cell]
Cu 0.230 0.000 0.119 [4 per cell]

For the density of states at the Fermi level, the calculation gives 6.70 states/eV/cell. Its size of the total moment is 0.00 μB per cell.


The least stable of them is 1.